1.
Material: TaFe2Cl
Method: DFT, PBE
State: optimized geometry

The energy relative to the elements, uncorrected is 0.71 eV per atom. The distance to the lowest polymorph of the same formula is 693 meV/atom. For the volume, the calculation gives 115 Å³ per cell. Its total energy is -27.77 eV per formula unit.

The space group is I4/mmm (No. 139) and the conventional cell measures 3.570, 3.570 and 9.024 Å, with angles of 90.00, 90.00 and 90.00 degrees. The distinct sites, in fractional coordinates, are Ta at (0.000, 0.000, 0.000), Fe at (0.000, 0.500, 0.250) and Cl at (0.000, 0.000, 0.500).

2.
Material: TaFeCl2
Method: DFT, PBE
State: optimized geometry

The energy relative to the elements, uncorrected is 0.65 eV per atom. The distance to the lowest polymorph of the same formula is 1126 meV/atom. For the volume, the calculation gives 133 Å³ per cell. Its total energy is -21.42 eV per formula unit.

The space group is I-4m2 (No. 119) and the conventional cell measures 4.103, 4.103 and 7.892 Å, with angles of 90.00, 90.00 and 90.00 degrees. The distinct sites, in fractional coordinates, are Ta at (0.000, 0.000, 0.000), Fe at (0.000, 0.500, 0.250), Cl at (0.000, 0.000, 0.500) and Cl at (0.000, 0.500, 0.750).

3.
Material: TaFeCl2
Method: DFT, PBE
State: optimized geometry

The energy relative to the elements, uncorrected is 0.67 eV per atom. The distance to the lowest polymorph of the same formula is 1145 meV/atom. For the volume, the calculation gives 128 Å³ per cell. Its total energy is -21.34 eV per formula unit.

The space group is Cmmm (No. 65) and the conventional cell measures 5.843, 7.373 and 2.964 Å, with angles of 90.00, 90.00 and 90.00 degrees. The distinct sites, in fractional coordinates, are Ta at (0.000, 0.000, 0.000), Fe at (0.000, 0.500, 0.000) and Cl at (0.250, 0.250, 0.500).

4.
Material: TaFe2Cl
Method: DFT, PBE
State: optimized geometry

The energy relative to the elements, uncorrected is 0.84 eV per atom. The distance to the lowest polymorph of the same formula is 823 meV/atom. For the volume, the calculation gives 279 Å³ per cell. Its total energy is -27.25 eV per formula unit.

The space group is I-42d (No. 122) and the conventional cell measures 5.220, 5.220 and 10.236 Å, with angles of 90.00, 90.00 and 90.00 degrees. The distinct sites, in fractional coordinates, are Ta at (0.000, 0.000, 0.000), Fe at (0.203, 0.250, 0.625) and Cl at (0.000, 0.000, 0.500).

Which value of energy relative to the elements, uncorrected does entry 2 give?
0.65 eV per atom

energy relative to the elements, uncorrected of number 2 (TaFeCl2)?
0.65 eV per atom

Look up the energy relative to the elements, uncorrected of the third one.
0.67 eV per atom